Record 1
Density functional theory data (GGA-PBE) for a relaxed LiInI2N crystal.

extended XYZ file:
```
5
Lattice="6.1420 0.0000 0.0000 0.0000 6.1420 0.0000 0.0000 0.0000 4.0910" Properties=species:S:1:pos:R:3 pbc="T T T"
Li 0.0000 0.0000 0.0000
In 3.0710 3.0710 2.0455
I 0.0000 3.0710 2.0455
I 3.0710 0.0000 2.0455
N 3.0710 3.0710 0.0000
```

Output
E above lowest polymorph (meV/atom): 0.0
Space group: No. 123
Formation energy (no corrections) (meV/atom): 174

---

Record 2
Density functional theory data (GGA-PBE) for a relaxed Dy2HoHgN crystal.

extended XYZ file:
```
5
Lattice="4.8008 0.0000 0.0000 0.0000 4.8008 0.0000 0.0000 0.0000 4.7722" Properties=species:S:1:pos:R:3 pbc="T T T"
Dy 0.0000 2.4004 0.0000
Dy 2.4004 0.0000 0.0000
Ho 0.0000 0.0000 2.3861
Hg 2.4004 2.4004 2.3861
N 0.0000 0.0000 0.0000
```

Output
Space group: No. 123
Formation energy (no corrections) (meV/atom): -930

---

Record 3
Density functional theory data (GGA-PBE) for a relaxed LiPICl2 crystal.

extended XYZ file:
```
5
Lattice="4.3505 0.0000 0.0000 0.0000 4.3505 0.0000 0.0000 0.0000 7.4666" Properties=species:S:1:pos:R:3 pbc="T T T"
Li 0.0000 0.0000 0.0000
P 0.0000 0.0000 3.7333
I 2.1752 2.1752 3.7333
Cl 0.0000 2.1752 0.0000
Cl 2.1752 0.0000 0.0000
```

Output
E above lowest polymorph (meV/atom): 0.0
Space group: No. 123
Formation energy (no corrections) (meV/atom): -76

---

Record 4
Density functional theory data (GGA-PBE) for a relaxed BaCdI2 crystal.

extended XYZ file:
```
4
Lattice="2.2998 1.3278 10.3997 -2.2998 1.3278 10.3997 0.0000 -2.6556 10.3997" Properties=species:S:1:pos:R:3 pbc="T T T"
Ba 0.0000 0.0000 0.0000
Cd 0.0000 0.0000 15.5996
I 0.0000 0.0000 3.3654
I 0.0000 0.0000 27.8338
```

Output
E above lowest polymorph (meV/atom): 632.5
Space group: No. 166
Formation energy (no corrections) (meV/atom): -485

---

- Among the records above, which one has the lowest formation energy (no corrections)?
  Dy2HoHgN